This record from Alexandria via LeMat-Bulk describes a relaxed KZn2Hg crystal. The functional is PBE-GGA.

Summary:
Its size of the total moment is 0.000 μB per cell. The energy of formation from the pure elements comes out at 0.207 eV per atom.

Unit cell a=6.538 b=11.418 c=3.168 alpha=90.00 beta=116.08 gamma=90.00
Atoms (fractional coordinates):
K 0.000 0.000 0.000
K 0.500 0.500 0.000
Zn 0.250 0.250 0.500
Zn 0.250 0.750 0.500
Zn 0.750 0.250 0.500
Zn 0.750 0.750 0.500
Hg 0.000 0.500 0.000
Hg 0.500 0.000 0.000

***

This record from Alexandria via LeMat-Bulk describes a relaxed PmMnZn2N4 crystal. The functional is PBE-GGA.

Summary:
The calculation puts the formation energy without anion corrections at -0.36 eV per atom. Its size of the total moment is 3.993 μB per cell.

Unit cell a=5.251 b=5.251 c=7.280 alpha=90.00 beta=90.00 gamma=90.00
Atoms (fractional coordinates):
Pm 0.000 0.000 0.000
Pm 0.500 0.500 0.500
Mn 0.000 0.000 0.500
Mn 0.500 0.500 0.000
Zn 0.000 0.500 0.250
Zn 0.000 0.500 0.750
Zn 0.500 0.000 0.250
Zn 0.500 0.000 0.750
N 0.200 0.200 0.361
N 0.200 0.800 0.639
N 0.300 0.300 0.861
N 0.300 0.700 0.139
N 0.700 0.300 0.139
N 0.700 0.700 0.861
N 0.800 0.200 0.639
N 0.800 0.800 0.361

***

This record from Alexandria via LeMat-Bulk describes a relaxed Na2SnPPd6 crystal. The functional is PBE-GGA.

Summary:
Its size of the total moment is 0.000 μB per cell. The energy of formation from the pure elements comes out at -0.333 eV per atom.

Unit cell a=6.001 b=8.798 c=7.722 alpha=90.00 beta=90.00 gamma=90.00
Atoms (fractional coordinates):
Na 0.250 0.041 0.209
Na 0.250 0.459 0.209
Na 0.750 0.541 0.791
Na 0.750 0.959 0.791
Sn 0.250 0.750 0.798
Sn 0.750 0.250 0.202
P 0.250 0.250 0.716
P 0.750 0.750 0.284
Pd 0.025 0.750 0.089
Pd 0.025 0.750 0.490
Pd 0.250 0.004 0.607
Pd 0.250 0.496 0.607
Pd 0.475 0.750 0.089
Pd 0.475 0.750 0.490
Pd 0.525 0.250 0.510
Pd 0.525 0.250 0.911
Pd 0.750 0.504 0.393
Pd 0.750 0.996 0.393
Pd 0.975 0.250 0.510
Pd 0.975 0.250 0.911

***

Record-wise uncorrected energy values, in eV/atom: -0.780, -6.581, -4.654